Compound: Dy2Te
Source: Alexandria via LeMat-Bulk
Functional: PBE
Structure: optimized geometry

Structure (extended XYZ):
```
36
Lattice="22.284 0.000 0.000 0.000 4.058 0.000 0.000 0.000 11.506" Properties=species:S:1:pos:R:3 pbc="T T T"
Dy 0.397 1.015 1.309
Dy 0.759 3.044 4.424
Dy 2.414 1.015 9.792
Dy 3.266 3.044 1.020
Dy 3.582 1.015 6.312
Dy 5.210 3.044 8.858
Dy 5.932 1.015 3.105
Dy 7.560 3.044 0.559
Dy 7.876 1.015 6.773
Dy 8.728 3.044 4.040
Dy 10.383 1.015 10.177
Dy 10.745 3.044 7.062
Dy 11.539 1.015 4.444
Dy 11.901 3.044 1.329
Dy 13.556 1.015 7.466
Dy 14.408 3.044 4.733
Dy 14.724 1.015 10.947
Dy 16.352 3.044 8.401
Dy 17.074 1.015 2.648
Dy 18.702 3.044 5.194
Dy 19.018 1.015 10.486
Dy 19.870 3.044 1.713
Dy 21.525 1.015 7.081
Dy 21.887 3.044 10.197
Te 1.528 3.044 7.479
Te 2.843 1.015 3.362
Te 5.320 1.015 11.321
Te 5.822 3.044 5.568
Te 8.299 3.044 9.115
Te 9.614 1.015 1.726
Te 12.670 3.044 9.780
Te 13.985 1.015 2.391
Te 16.462 1.015 5.937
Te 16.964 3.044 0.185
Te 19.441 3.044 8.143
Te 20.756 1.015 4.027
```

Calculated density in g cm⁻³: 8.7
Uncorrected energy in eV per cell: -179.7


Compound: Dy2Te3
Source: Alexandria via LeMat-Bulk
Functional: PBE
Structure: optimized geometry

Structure (extended XYZ):
```
20
Lattice="0.000 6.165 13.071 4.377 0.000 13.071 4.377 6.165 0.000" Properties=species:S:1:pos:R:3 pbc="T T T"
Dy 1.094 1.541 1.102
Dy 3.283 4.624 3.284
Dy 1.094 1.541 5.434
Dy 5.471 7.706 9.819
Dy 3.283 4.624 16.323
Dy 7.659 10.789 20.709
Dy 5.471 7.706 22.859
Dy 7.659 10.789 25.041
Te 3.267 1.542 7.639
Te 5.461 4.624 9.803
Te 3.298 1.542 11.968
Te 5.487 4.624 14.175
Te 7.650 7.706 16.339
Te 5.455 4.624 18.504
Te 3.298 7.706 7.639
Te 1.104 4.624 9.803
Te 3.267 7.706 11.968
Te 5.455 10.788 14.175
Te 3.292 7.706 16.339
Te 5.487 10.788 18.504
```

Calculated density in g cm⁻³: 6.7
Uncorrected energy in eV per cell: -102.8


Compound: Dy4Te3
Source: Alexandria via LeMat-Bulk
Functional: PBE
Structure: optimized geometry

Structure (extended XYZ):
```
7
Lattice="2.078 1.200 14.209 -2.078 1.200 14.209 0.000 -2.399 14.209" Properties=species:S:1:pos:R:3 pbc="T T T"
Dy 0.000 0.000 5.129
Dy 0.000 0.000 15.561
Dy 0.000 0.000 27.065
Dy 0.000 0.000 37.497
Te 0.000 0.000 10.924
Te 0.000 0.000 21.313
Te 0.000 0.000 31.702
```

Calculated density in g cm⁻³: 8.1
Uncorrected energy in eV per cell: -35.1
Polymorph energy (0 for the lowest one) in eV per atom: 0.0297


Compound: Dy4Te3
Source: Alexandria via LeMat-Bulk
Functional: PBE
Structure: optimized geometry

Structure (extended XYZ):
```
14
Lattice="-4.557 4.557 4.557 4.557 -4.557 4.557 4.557 4.557 -4.557" Properties=species:S:1:pos:R:3 pbc="T T T"
Dy 2.941 1.616 -1.616
Dy 5.220 -0.663 0.663
Dy 1.616 -1.616 2.941
Dy 1.616 1.616 1.616
Dy -1.616 2.941 1.616
Dy 0.663 5.220 -0.663
Dy -0.663 0.663 5.220
Dy 3.895 3.895 3.895
Te 4.557 -2.279 3.418
Te 3.418 4.557 -2.279
Te 4.557 2.279 1.139
Te 2.279 1.139 4.557
Te 1.139 4.557 2.279
Te -2.279 3.418 4.557
```

Calculated density in g cm⁻³: 9.1
Uncorrected energy in eV per cell: -70.7
Polymorph energy (0 for the lowest one) in eV per atom: 0.0000


Per-record uncorrected formation energy, eV/atom: -0.8766, -1.4126, -1.0425, -1.0721